## NdIn3Ni2 (GGA-PBE)

Data for NdIn3Ni2 after structural relaxation.

Results
The value obtained for the formation energy is -0.28 eV per atom. As for the crystal system: monoclinic. The calculation puts the density of states at the Fermi level at 3.7 states/eV/f.u.

Cell lengths 4.361, 8.904, 10.588 Å; angles 108.93, 90.00, 104.18 degrees
Atoms (fractional coordinates):
In (0.222, 0.444, 0.389)
Ni (0.479, 0.958, 0.222)
Nd (0.000, 0.000, 0.000)
Ni (0.367, 0.734, 0.559)
In (0.671, 0.342, 0.953)
Nd (0.157, 0.315, 0.702)
Ni (0.521, 0.042, 0.778)
Ni (0.633, 0.266, 0.441)
In (0.043, 0.085, 0.341)
In (0.957, 0.915, 0.659)
In (0.500, 0.000, 0.500)
In (0.778, 0.556, 0.611)
In (0.329, 0.658, 0.047)
Ni (0.800, 0.600, 0.874)
Nd (0.843, 0.685, 0.298)
In (0.628, 0.255, 0.193)
In (0.372, 0.745, 0.807)
Ni (0.200, 0.400, 0.126)

***

## Li3B2Ir2 (GGA-PBE)

Data for Li3B2Ir2 after structural relaxation.

Results
The value obtained for the formation energy is -0.22 eV per atom. As for the crystal system: monoclinic. The calculation puts the density of states at the Fermi level at 2.2 states/eV/f.u.

Cell lengths 3.753, 3.753, 6.353 Å; angles 90.11, 106.90, 120.31 degrees
Atoms (fractional coordinates):
Ir (0.183, 0.593, 0.777)
Li (0.690, 0.845, 0.535)
B (0.559, 0.281, 0.840)
Ir (0.817, 0.407, 0.223)
Li (0.000, 0.000, 0.000)
Li (0.310, 0.155, 0.465)
B (0.441, 0.719, 0.160)

***

## YCd2Ni (GGA-PBE)

Data for YCd2Ni after structural relaxation.

Results
The value obtained for the formation energy is -0.15 eV per atom. As for the crystal system: monoclinic. The calculation puts the density of states at the Fermi level at 2.8 states/eV/f.u.

Cell lengths 5.945, 5.945, 4.832 Å; angles 66.10, 66.10, 32.39 degrees
Atoms (fractional coordinates):
Cd (0.039, 0.039, 0.961)
Y (0.250, 0.250, 0.250)
Ni (0.750, 0.750, 0.750)
Cd (0.461, 0.461, 0.539)

***

## FeCoBiN2 (GGA-PBE)

Data for FeCoBiN2 after structural relaxation.

Results
As for the crystal system: tetragonal. The calculation puts the density of states at the Fermi level at 3.1 states/eV/f.u. As for the uncorrected formation energy: 912 meV per atom.

Cell lengths 3.596, 5.174, 3.596 Å; angles 90.00, 90.00, 90.00 degrees
Atoms (fractional coordinates):
Co (0.000, 0.500, 0.000)
Bi (0.500, 0.500, 0.500)
N (0.500, 0.000, 0.000)
Fe (0.000, 0.000, 0.000)
N (0.000, 0.000, 0.500)

***

## La2AgP3Pd4 (GGA-PBE)

Data for La2AgP3Pd4 after structural relaxation.

Results
The value obtained for the formation energy is -0.84 eV per atom. As for the crystal system: tetragonal. The calculation puts the density of states at the Fermi level at 5.2 states/eV/f.u.

Cell lengths 4.225, 4.225, 10.522 Å; angles 90.00, 90.00, 90.00 degrees
Atoms (fractional coordinates):
Pd (0.000, 0.000, 0.000)
P (0.000, 0.500, 0.128)
Ag (0.500, 0.500, 0.500)
La (0.000, 0.500, 0.760)
Pd (0.000, 0.500, 0.350)
Pd (0.500, 0.500, 0.000)
P (0.500, 0.000, 0.872)
Pd (0.500, 0.000, 0.650)
La (0.500, 0.000, 0.240)
P (0.000, 0.000, 0.500)

***

## Li2AcEu (GGA-PBE)

Data for Li2AcEu after structural relaxation.

Results
The value obtained for the formation energy is 0.10 eV per atom. As for the crystal system: cubic. The calculation puts the density of states at the Fermi level at 11.7 states/eV/f.u.

Cell lengths 5.713, 5.713, 5.713 Å; angles 60.00, 60.00, 60.00 degrees
Atoms (fractional coordinates):
Li (0.750, 0.750, 0.750)
Li (0.250, 0.250, 0.250)
Eu (0.000, 0.000, 0.000)
Ac (0.500, 0.500, 0.500)